No. 1
Entry from Alexandria: a relaxed NpScHg2 crystal (GGA-PBE).

It has space group P4/mmm (No. 123), with a = 3.206 Å, b = 3.206 Å, c = 8.870 Å, α = 90.00°, β = 90.00° and γ = 90.00°. The inequivalent atoms are Np at (0.000, 0.000, 0.000), Sc at (0.000, 0.000, 0.500) and Hg at (0.500, 0.500, 0.271).

For the total energy, the calculation gives -5.036 eV per atom. The density of states at the Fermi level comes out at 7.551 states/eV per cell.

***

No. 2
Entry from Alexandria: a relaxed ZrCuSe2N crystal (GGA-PBE).

It has space group P4/mmm (No. 123), with a = 4.922 Å, b = 4.922 Å, c = 3.612 Å, α = 90.00°, β = 90.00° and γ = 90.00°. The inequivalent atoms are Zr at (0.000, 0.000, 0.000), Cu at (0.500, 0.500, 0.500), Se at (0.000, 0.500, 0.500) and N at (0.500, 0.500, 0.000).

The polymorph energy (0 for the lowest one) comes out at 90 meV per atom. Its uncorrected formation energy is 1.62 eV/f.u. The density of states at the Fermi level comes out at 3.659 states/eV per cell.